[1]
5
Lattice="-2.5553 -4.7708 -2.6621 4.5615 -3.4805 1.8588 -2.2565 -0.9200 3.8147" Properties=species:S:1:pos:R:3 comment="NaSrP2O GGA-PBE optimized geometry" magmom_total_mub_per_cell=5.02 e_form_raw_mev_per_atom=307 vol_a3_per_atom=32.93 crystal_system=tetragonal sg="P4/mmm (123)" n_ef_per_ev_cell=1.792 pbc="T T T"
Na -0.1251 -4.5857 1.5057
Sr 0.0000 0.0000 0.0000
P -1.2777 -2.3854 -1.3311
P 2.2808 -1.7403 0.9294
O -1.1283 -0.4600 1.9074

[2]
5
Lattice="4.9836 0.0000 0.0000 0.0000 4.9836 0.0000 0.0000 0.0000 4.4091" Properties=species:S:1:pos:R:3 comment="NaSrP2O GGA-PBE optimized geometry" magmom_total_mub_per_cell=2.14 e_form_raw_mev_per_atom=194 vol_a3_per_atom=21.90 crystal_system=tetragonal sg="P4/mmm (123)" n_ef_per_ev_cell=3.315 pbc="T T T"
Sr 2.4918 2.4918 2.2045
O 0.0000 0.0000 2.2045
P 2.4918 0.0000 0.0000
P 0.0000 2.4918 0.0000
Na 0.0000 0.0000 0.0000

[3]
28
Lattice="-0.7151 -5.2816 1.3905 5.8343 -1.7715 -3.7282 5.5132 1.3554 7.9836" Properties=species:S:1:pos:R:3 comment="NaSrPO4 GGA-PBE optimized geometry" magmom_total_mub_per_cell=0.00 e_form_raw_mev_per_atom=-2627 vol_a3_per_atom=13.77 crystal_system=orthorhombic sg="Pnma (62)" n_ef_per_ev_cell=0.000 pbc="T T T"
Sr 0.9272 -1.0516 1.9372
Sr 6.2319 -3.8970 4.7675
Sr 9.7052 -4.6460 3.7088
Sr 4.4005 -1.8007 0.8785
O 6.9618 -2.1710 0.7892
O 8.2261 -0.6036 2.3245
O 4.9871 -0.0754 7.7333
O 6.3300 0.5332 5.6670
O 5.6453 -5.6223 -2.0873
O 5.9977 -1.9205 6.3130
O 4.6991 -4.2520 2.6308
O 2.0056 -1.7865 -0.2994
O 4.3024 -6.2309 -0.0211
O 8.6267 -3.9112 5.9454
O 7.8939 -3.0572 2.9705
O 3.6706 -3.5267 4.8568
O 2.7385 -2.6404 2.6755
O 4.6346 -3.7772 -0.6671
O 2.4063 -5.0941 3.3215
O 5.9333 -1.4457 3.0152
P 4.4363 -5.2243 -1.1972
P 6.1961 -0.4734 6.8432
P 3.3774 -3.8817 3.3578
P 7.2549 -1.8160 2.2882
Na 8.9462 -1.2316 5.3777
Na 6.7413 -4.8262 1.5001
Na 3.8911 -0.8715 4.1459
Na 1.6862 -4.4661 0.2683

[4]
5
Lattice="4.7564 0.0000 0.0000 0.0000 4.7564 0.0000 0.0000 0.0000 6.0295" Properties=species:S:1:pos:R:3 comment="NaSrPO2 GGA-PBE optimized geometry" magmom_total_mub_per_cell=4.00 e_form_raw_mev_per_atom=-217 vol_a3_per_atom=27.28 crystal_system=tetragonal sg="P4/mmm (123)" n_ef_per_ev_cell=4.991 pbc="T T T"
Sr 0.0000 0.0000 0.0000
O 2.3782 0.0000 0.0000
O 0.0000 2.3782 0.0000
Na 2.3782 2.3782 3.0147
P 0.0000 0.0000 3.0147

[5]
14
Lattice="-2.8348 -4.4566 1.3290 3.3472 2.0106 3.7970 -5.4408 4.2241 2.5594" Properties=species:S:1:pos:R:3 comment="NaSrPO4 GGA-PBE optimized geometry" magmom_total_mub_per_cell=0.00 e_form_raw_mev_per_atom=-2614 vol_a3_per_atom=13.89 crystal_system=orthorhombic sg="Cmcm (63)" n_ef_per_ev_cell=0.000 pbc="T T T"
O -4.4242 -0.3686 3.4385
O -1.5922 0.1492 1.6434
O -3.6204 2.9853 3.1994
O 1.3461 0.7101 3.3765
O -1.3080 -1.2072 4.4860
O -0.5042 2.1467 4.2469
O -6.2746 1.0680 4.3090
O -3.3362 1.6289 6.0421
P -5.9595 -0.2886 3.6302
P 1.0311 2.0667 4.0553
Na 0.2562 -1.2230 2.5630
Na -2.4642 0.8891 3.8427
Sr -1.9081 3.9499 5.2476
Sr -3.0204 -2.1718 2.4378

[6]
25
Lattice="-1.4567 6.2702 6.1874 -8.7273 1.6950 0.8260 5.2248 -7.2307 0.3750" Properties=species:S:1:pos:R:3 comment="Na2SrP4O18 GGA-PBE optimized geometry" magmom_total_mub_per_cell=6.08 e_form_raw_mev_per_atom=-1253 vol_a3_per_atom=14.94 crystal_system=orthorhombic sg="Imm2 (44)" n_ef_per_ev_cell=0.477 pbc="T T T"
Sr -5.1879 3.8311 3.5396
O -1.1814 4.1843 5.7241
O -4.0675 2.8120 6.3238
O -4.5413 1.2441 2.7897
O 1.1304 -2.9678 1.7048
O -3.3147 -2.7623 1.4990
O -1.0533 -1.2599 3.2086
O 1.2865 0.7209 6.2382
O -4.0147 -0.2638 4.7047
O -2.6750 1.8682 6.2427
O -0.7858 1.2491 2.6292
O -6.0870 0.2644 1.0957
O -7.5963 3.6335 4.8936
O -1.8827 -3.6438 1.4044
O 2.7985 -1.0188 5.2207
O 0.6367 -0.4678 1.4559
O -1.8588 -0.4168 1.0063
O -4.8798 5.6143 5.2687
O -2.6962 3.9065 3.7650
Na 3.1652 -4.2369 1.9958
Na -1.7290 -0.4091 5.3662
P 1.2708 -1.7982 0.7731
P 1.4814 -0.7677 6.1376
P -0.7856 -0.1898 2.1893
P 3.5379 -2.3761 4.7214

[7]
5
Lattice="4.2715 0.0000 0.0000 0.0000 4.6354 0.0000 0.0000 0.0000 4.2715" Properties=species:S:1:pos:R:3 comment="NaSrPO2 GGA-PBE optimized geometry" magmom_total_mub_per_cell=0.00 e_form_raw_mev_per_atom=-457 vol_a3_per_atom=16.91 crystal_system=tetragonal sg="P4/mmm (123)" n_ef_per_ev_cell=0.217 pbc="T T T"
O 2.1357 0.0000 0.0000
O 0.0000 0.0000 2.1357
Sr 2.1357 2.3177 2.1357
P 0.0000 0.0000 0.0000
Na 0.0000 2.3177 0.0000

[8]
5
Lattice="-4.0881 -1.7015 -0.0019 1.6963 -4.0760 0.3413 -0.1473 0.3486 4.8946" Properties=species:S:1:pos:R:3 comment="NaSrPO2 GGA-PBE optimized geometry" magmom_total_mub_per_cell=3.19 e_form_raw_mev_per_atom=-180 vol_a3_per_atom=19.25 crystal_system=tetragonal sg="P4/mmm (123)" n_ef_per_ev_cell=4.113 pbc="T T T"
O -2.0440 -0.8508 -0.0009
O 0.8482 -2.0380 0.1707
Sr -1.2695 -2.7145 2.6170
Na 0.0000 0.0000 0.0000
P -0.0737 0.1743 2.4473

[9]
38
Lattice="-2.6769 -1.8539 -9.4399 1.9894 -9.6934 1.3396 -4.7638 -0.7701 1.5022" Properties=species:S:1:pos:R:3 comment="Na2SrP4O12 GGA-PBE optimized geometry" magmom_total_mub_per_cell=0.00 e_form_raw_mev_per_atom=-2371 vol_a3_per_atom=13.26 crystal_system=tetragonal sg="P4/nbm (125)" n_ef_per_ev_cell=0.000 pbc="T T T"
Na -2.8976 -9.0455 -5.3241
Na -3.8923 -4.1988 -5.9939
Na -1.5591 -8.1186 -0.6042
Na -2.5538 -3.2719 -1.2740
O -2.1260 -5.7634 -5.8078
O -3.2251 -6.7850 1.0868
O -4.9702 -2.4580 -2.2291
O -1.3237 -10.7434 -5.8168
O -3.1796 -3.9934 -8.2417
O -5.6586 -2.6343 -6.1801
O 0.1069 -9.4521 -2.2952
O 0.3130 -7.9062 0.8285
O -3.5648 -5.3876 -0.9516
O -2.0335 -2.2955 -5.4143
O -0.1374 -4.0857 -0.3189
O -1.1685 -8.1362 -3.9878
O -3.4095 -2.7803 0.8774
O -4.6266 -9.9549 -6.6605
O -5.7510 -6.1022 -6.5735
O -1.6980 -3.7634 -3.4254
O -1.5428 -1.1561 -1.5964
O -4.4714 -7.3476 -4.8315
O -0.7406 -6.1361 -1.6054
O -3.4312 -8.3309 -2.0369
O -4.0059 -10.4292 -3.2576
O -2.3776 -10.1010 0.3970
O -1.7892 -7.6619 -7.3907
O -4.6050 -4.4043 -3.7462
P -0.9168 -2.9814 -4.4360
P 0.5731 -2.7923 0.3859
P 0.2293 -8.5660 -3.6643
P 1.4163 -6.9011 0.9537
P -1.1149 -6.3077 -6.7694
P -0.7711 -0.5340 -2.7193
P -1.9058 -1.3199 -6.7206
P 0.4274 -5.2396 -1.3309
Sr -2.7257 -6.1587 -3.2991
Sr -2.3819 -0.3851 0.7511

[10]
5
Lattice="-2.9909 2.0621 -3.4072 -0.5961 -4.4449 -2.1668 -3.1131 -0.7063 2.3053" Properties=species:S:1:pos:R:3 comment="NaTaP2O GGA-PBE optimized geometry" magmom_total_mub_per_cell=0.54 e_form_raw_mev_per_atom=-661 vol_a3_per_atom=19.54 crystal_system=tetragonal sg="P4/mmm (123)" n_ef_per_ev_cell=4.791 pbc="T T T"
O -1.5566 -0.3531 1.1527
Na -3.3501 -1.5445 -1.6343
P -0.2981 -2.2224 -1.0834
P -1.4955 1.0310 -1.7036
Ta 0.0000 0.0000 0.0000

[11]
12
Lattice="-1.2488 -4.6556 4.0943 5.0953 -0.3512 -3.7299 2.7440 2.3647 3.5259" Properties=species:S:1:pos:R:3 comment="Na2TaPO8 GGA-PBE optimized geometry" magmom_total_mub_per_cell=4.02 e_form_raw_mev_per_atom=-1244 vol_a3_per_atom=14.59 crystal_system=trigonal sg="P-3m1 (164)" n_ef_per_ev_cell=4.717 pbc="T T T"
O 1.7199 -2.2440 5.8933
O 1.7038 -0.1799 0.3151
O 1.7825 -2.4310 2.6640
O 4.0945 -3.2917 0.5416
O 4.8080 -0.2112 1.2263
O 4.8706 -0.3982 -2.0031
O 4.8868 -2.4623 3.5752
O 2.4961 0.6496 3.3487
Na 3.1913 -1.2169 4.4742
Na 3.3992 -1.4253 -0.5839
Ta 1.3720 1.1823 1.7629
P 0.0000 0.0000 0.0000

[12]
9
Lattice="-4.6403 -2.1556 0.4664 2.0882 -4.5577 -0.2880 -0.5811 2.2177 4.4677" Properties=species:S:1:pos:R:3 comment="NaTaPO6 GGA-PBE optimized geometry" magmom_total_mub_per_cell=1.00 e_form_raw_mev_per_atom=-2025 vol_a3_per_atom=12.47 crystal_system=trigonal sg="P312 (149)" n_ef_per_ev_cell=3.582 pbc="T T T"
P -2.3202 -1.0778 0.2332
O 0.0902 -3.9502 0.0470
O 0.1959 -3.5332 3.0262
O -2.0924 -3.2666 3.2750
O -0.9722 -1.4031 1.2489
O -2.6185 -2.7662 0.3537
O -1.3334 -5.3427 1.2319
Ta -1.1217 -3.3770 1.5304
Na 0.3086 -0.0407 2.8824

[13]
12
Lattice="5.2326 0.0000 0.0000 2.6163 4.5315 0.0000 2.6163 1.5105 8.2257" Properties=species:S:1:pos:R:3 comment="NaTaP2O8 GGA-PBE optimized geometry" magmom_total_mub_per_cell=0.00 e_form_raw_mev_per_atom=-2375 vol_a3_per_atom=16.25 crystal_system=trigonal sg="R-3m (166)" n_ef_per_ev_cell=0.000 pbc="T T T"
O 7.8488 4.5315 7.3825
O 6.6072 2.2269 2.9535
O 5.2330 1.4335 5.2723
O 5.2330 4.6085 2.9535
O 3.8575 2.2276 2.9535
O 6.6072 3.8151 5.2723
O 3.8575 3.8144 5.2723
O 2.6163 1.5105 0.8432
Ta 5.2326 3.0210 4.1129
P 2.6163 1.5105 2.3350
P 7.8488 4.5315 5.8908
Na 0.0000 0.0000 0.0000

[14]
5
Lattice="-4.3894 1.2051 0.8951 -1.2117 -1.2113 -4.3110 -0.7240 -3.5238 1.1936" Properties=species:S:1:pos:R:3 comment="NaTaP2O GGA-PBE optimized geometry" magmom_total_mub_per_cell=0.00 e_form_raw_mev_per_atom=1131 vol_a3_per_atom=16.31 crystal_system=tetragonal sg="P4/mmm (123)" n_ef_per_ev_cell=5.251 pbc="T T T"
Na 0.0000 0.0000 0.0000
P -2.1947 0.6025 0.4476
P -0.6058 -0.6056 -2.1555
O -0.3620 -1.7619 0.5968
Ta -3.1625 -1.7650 -1.1111

[15]
10
Lattice="4.5731 0.0000 0.0000 0.0000 5.0352 0.0000 0.0000 0.0000 5.0352" Properties=species:S:1:pos:R:3 comment="Na2TaPO6 GGA-PBE optimized geometry" magmom_total_mub_per_cell=0.00 e_form_raw_mev_per_atom=-2235 vol_a3_per_atom=11.59 crystal_system=tetragonal sg="P4mm (99)" n_ef_per_ev_cell=0.000 pbc="T T T"
P 2.6436 0.0000 0.0000
O 3.0935 1.1515 1.1515
O 3.0935 3.8837 1.1515
O 1.1095 0.0000 0.0000
O 3.0935 3.8837 3.8837
O 0.8819 2.5176 2.5176
O 3.0935 1.1515 3.8837
Ta 2.7117 2.5176 2.5176
Na 0.3074 0.0000 2.5176
Na 0.3074 2.5176 0.0000

[16]
14
Lattice="-1.4697 0.7944 5.9446 -4.7925 -3.2744 2.4598 1.2474 -4.5967 4.1297" Properties=species:S:1:pos:R:3 comment="NaTbPO4 GGA-PBE optimized geometry" magmom_total_mub_per_cell=0.20 e_form_raw_mev_per_atom=-2383 vol_a3_per_atom=12.62 crystal_system=orthorhombic sg="Imma (74)" n_ef_per_ev_cell=2.483 pbc="T T T"
O -3.4894 -5.4897 9.4922
O -0.7627 -4.3225 5.4765
O -2.6987 -5.6538 6.5025
O -1.3707 -3.9939 7.9357
O -1.5254 -1.5870 3.0420
O -2.3161 -1.4229 6.0317
O -4.2521 -2.7542 7.0577
O -3.6441 -3.0829 4.5985
Na 0.6237 -2.2983 2.0649
Na -0.1112 -1.9011 5.0372
Tb -1.7725 -3.9356 3.2948
Tb 0.0000 0.0000 0.0000
P -3.7323 -2.0176 5.7610
P -1.2825 -5.0591 6.7732